Density functional theory data (GGA+U) for MnBeIn2F6 after structural relaxation.

Calculated density   4.4 g/cm³
Space group   No. 8
DFT total energy   -51.81 eV/cell

extended XYZ file:
```
10
Lattice="4.9218 -3.1005 0.0000 4.9218 3.1005 0.0000 -4.8548 0.0000 5.0856" Properties=species:S:1:pos:R:3 pbc="T T T"
Mn 0.0000 0.0000 0.0000
Be -1.5870 0.0000 3.5047
In 1.7155 0.0000 3.0396
In 4.6210 0.0000 1.5927
F -3.1632 0.0000 3.6125
F -1.1193 0.0000 2.0121
F -0.9781 1.2973 4.2518
F 6.0731 1.6756 1.0177
F -0.9781 -1.2973 4.2518
F 6.0731 -1.6756 1.0177
```